Run one
! Nd2SmCd | the Alexandria database | PBE-GGA | optimized geometry; values from VASP
&SYSTEM
  ibrav = 0, nat = 4, ntyp = 3
/
ATOMIC_SPECIES
Nd 144.24 Nd.upf
Sm 150.36 Sm.upf
Cd 112.41 Cd.upf
CELL_PARAMETERS angstrom
-3.077 0.548 -2.142
-3.250 0.157 4.710
0.769 5.662 0.343
ATOMIC_POSITIONS crystal
Nd 0.000 0.000 0.500
Nd 0.000 0.500 0.000
Sm 0.500 0.500 0.500
Cd 0.500 0.000 0.000
! space group = P4/mmm (123)
! magnetic moment = 0.00 μB/f.u.

Run two
! Nd2SmCd | the Alexandria database | PBE-GGA | optimized geometry; values from VASP
&SYSTEM
  ibrav = 0, nat = 4, ntyp = 3
/
ATOMIC_SPECIES
Nd 144.24 Nd.upf
Sm 150.36 Sm.upf
Cd 112.41 Cd.upf
CELL_PARAMETERS angstrom
3.735 0.000 0.000
0.000 3.735 0.000
0.000 0.000 9.076
ATOMIC_POSITIONS crystal
Nd 0.000 0.000 0.775
Nd 0.000 0.000 0.225
Sm 0.500 0.500 0.500
Cd 0.500 0.500 0.000
! space group = P4/mmm (123)
! magnetic moment = 0.00 μB/f.u.

Run three
! Nd2SmCd | the Alexandria database | PBE-GGA | optimized geometry; values from VASP
&SYSTEM
  ibrav = 0, nat = 4, ntyp = 3
/
ATOMIC_SPECIES
Nd 144.24 Nd.upf
Sm 150.36 Sm.upf
Cd 112.41 Cd.upf
CELL_PARAMETERS angstrom
-1.373 0.510 -3.372
-3.528 -0.773 -0.685
-4.442 10.320 1.365
ATOMIC_POSITIONS crystal
Nd 0.078 0.078 0.767
Nd 0.256 0.256 0.232
Sm 0.500 0.500 0.501
Cd 0.667 0.667 0.000
! space group = R3m (160)
! magnetic moment = 0.00 μB/f.u.

Which structure is most stable? run two, by 0.066 eV/atom over the runner-up.

Run one
! Nd2SmCd | the Alexandria database | PBE-GGA | optimized geometry; values from VASP
&SYSTEM
  ibrav = 0, nat = 4, ntyp = 3
/
ATOMIC_SPECIES
Nd 144.24 Nd.upf
Sm 150.36 Sm.upf
Cd 112.41 Cd.upf
CELL_PARAMETERS angstrom
3.663 0.000 0.000
1.831 3.172 0.000
1.831 1.057 11.146
ATOMIC_POSITIONS crystal
Nd 0.255 0.255 0.234
Nd 0.745 0.745 0.766
Sm 0.500 0.500 0.500
Cd 0.000 0.000 0.000
! space group = R-3m (166)
! magnetic moment = 0.00 μB/f.u.

Run two
! Nd2SmCd | the Alexandria database | PBE-GGA | optimized geometry; values from VASP
&SYSTEM
  ibrav = 0, nat = 4, ntyp = 3
/
ATOMIC_SPECIES
Nd 144.24 Nd.upf
Sm 150.36 Sm.upf
Cd 112.41 Cd.upf
CELL_PARAMETERS angstrom
5.590 0.000 0.000
2.795 4.841 0.000
2.795 1.614 4.564
ATOMIC_POSITIONS crystal
Nd 0.250 0.250 0.250
Nd 0.750 0.750 0.750
Sm 0.000 0.000 0.000
Cd 0.500 0.500 0.500
! space group = Fm-3m (225)
! magnetic moment = 0.00 μB/f.u.

Which structure is most stable? run one, by 0.035 eV/atom over the runner-up.